Entry from Alexandria: an optimized crystal structure of Cs5NbCl2O4 (GGA-PBE).

Calculated values
VASP energy = -5.188 eV per atom
Fermi-level density of states = 0.0000 states/eV per atom
Raw formation energy = -2.033 eV/atom

Cell lengths 9.3017, 11.2411, 7.3386 Å; angles 90.00, 90.00, 90.00 degrees
Space group Amm2 (No. 38)
Asymmetric unit:
Cs: 0.0000 0.0000 0.0000
Cs: 0.2930 0.1804 0.4041
Nb: 0.5000 0.0000 0.9221
Cl: 0.0000 0.2067 0.6699
O: 0.3361 0.0000 0.0753
O: 0.5000 0.1377 0.7730

Entry from Alexandria: an optimized crystal structure of CsNbP2Cl (GGA-PBE).

Calculated values
VASP energy = -5.220 eV per atom
Fermi-level density of states = 0.5788 states/eV per atom
Raw formation energy = -0.502 eV/atom

Cell lengths 4.8740, 4.8740, 5.5026 Å; angles 90.00, 90.00, 90.00 degrees
Space group P4/mmm (No. 123)
Asymmetric unit:
Cs: 0.0000 0.0000 0.0000
Nb: 0.5000 0.5000 0.5000
P: 0.0000 0.5000 0.5000
Cl: 0.5000 0.5000 0.0000

Entry from Alexandria: an optimized crystal structure of CsNbP2Cl (GGA-PBE).

Calculated values
VASP energy = -2.848 eV per atom
Fermi-level density of states = 1.1383 states/eV per atom
Raw formation energy = 1.870 eV/atom

Cell lengths 5.4406, 5.4406, 5.7678 Å; angles 90.00, 90.00, 90.00 degrees
Space group P4/mmm (No. 123)
Asymmetric unit:
Cs: 0.0000 0.0000 0.0000
Nb: 0.5000 0.5000 0.5000
P: 0.0000 0.5000 0.0000
Cl: 0.0000 0.0000 0.5000

Entry from Alexandria: an optimized crystal structure of Cs2NbPCl6 (GGA-PBE).

Calculated values
VASP energy = -3.911 eV per atom
Fermi-level density of states = 0.6074 states/eV per atom
Raw formation energy = -1.085 eV/atom

Cell lengths 7.0821, 7.0821, 12.5093 Å; angles 90.00, 90.00, 90.00 degrees
Space group I4/mmm (No. 139)
Asymmetric unit:
Cs: 0.0000 0.5000 0.2500
Nb: 0.0000 0.0000 0.0000
P: 0.0000 0.0000 0.5000
Cl: 0.0000 0.0000 0.1999
Cl: 0.2471 0.2471 0.5000

Among the records above, which one has the highest VASP energy? number 3